A relaxed structure of Pm2PrHo6, computed with PBE.

Energy ... -38.780 eV for the cell shown
N(E_F) ... 1.282 states/eV/atom
Energy above the most stable polymorph in this dataset ... 225 meV/atom
Symmetry ... R3m
DFT formation energy ... 31.8 kJ/mol of atoms

Unit cell a=7.414 b=7.414 c=7.647 alpha=61.01 beta=61.01 gamma=60.00
Fractional coordinates of all 9 atoms:
Pm1 0.755 0.755 0.735
Pm2 0.580 0.580 0.261
Pr1 0.316 0.316 0.052
Ho1 0.785 0.259 0.697
Ho2 0.259 0.785 0.697
Ho3 0.259 0.259 0.697
Ho4 0.048 0.616 0.288
Ho5 0.048 0.048 0.288
Ho6 0.616 0.048 0.288

***

A relaxed structure of NaCdCl3, computed with PBE.

Energy ... -13.836 eV for the cell shown
N(E_F) ... 0.000 states/eV/atom
ΔE_f (raw) ... -6.1 eV/f.u.
Symmetry ... Pm-3m

Unit cell a=5.218 b=5.218 c=5.218 alpha=90.00 beta=90.00 gamma=90.00
Fractional coordinates of all 5 atoms:
Na1 0.500 0.500 0.500
Cl1 0.000 0.500 0.000
Cl2 0.000 0.000 0.500
Cl3 0.500 0.000 0.000
Cd1 0.000 0.000 0.000

***

A relaxed structure of SmMgSc2Pd4, computed with PBE.

Energy ... -46.179 eV for the cell shown
N(E_F) ... 0.690 states/eV/atom
Symmetry ... R-3m
DFT formation energy ... -77.6 kJ/mol of atoms

Unit cell a=4.656 b=4.656 c=8.587 alpha=74.27 beta=74.27 gamma=60.00
Fractional coordinates of all 8 atoms:
Sm1 0.000 0.000 0.000
Mg1 0.500 0.500 0.500
Sc1 0.759 0.759 0.724
Sc2 0.241 0.241 0.276
Pd1 0.390 0.390 0.831
Pd2 0.874 0.874 0.379
Pd3 0.126 0.126 0.621
Pd4 0.610 0.610 0.169